Compound: LiAcPrSi
Source: Alexandria
Functional: PBE
Structure: optimized geometry

Total magnetization   0.00 μB/cell
VASP energy   -4.300 eV per atom
Formation energy (no corrections)   -0.24 eV per atom

Lattice parameters (Å, degrees): 7.5726 7.5726 7.5726 90.00 90.00 90.00
Last column: nearest neighbours and their distance in Å.
Space group F-43m (No. 216)
Inequivalent atoms, fractional coordinates:
1 Li 0.0000 0.0000 0.0000 [4 per cell]  4 Ac 3.28, 4 Pr 3.28
2 Ac 0.2500 0.2500 0.7500 [4 per cell]  4 Li 3.28, 4 Si 3.28
3 Pr 0.2500 0.2500 0.2500 [4 per cell]  4 Li 3.28, 4 Si 3.28
4 Si 0.0000 0.0000 0.5000 [4 per cell]  4 Ac 3.28, 4 Pr 3.28

Compound: LiAcPrSm
Source: Alexandria
Functional: PBE
Structure: optimized geometry

Total magnetization   0.00 μB/cell
VASP energy   -3.657 eV per atom
ΔE_f   21.6 kJ/mol of atoms

Lattice parameters (Å, degrees): 8.2165 8.2165 8.2165 90.00 90.00 90.00
Last column: nearest neighbours and their distance in Å.
Space group F-43m (No. 216)
Inequivalent atoms, fractional coordinates:
1 Li 0.0000 0.0000 0.0000 [4 per cell]  4 Pr 3.56, 4 Sm 3.56
2 Ac 0.0000 0.0000 0.5000 [4 per cell]  4 Pr 3.56, 4 Sm 3.56
3 Pr 0.2500 0.2500 0.7500 [4 per cell]  4 Ac 3.56, 4 Li 3.56
4 Sm 0.2500 0.2500 0.2500 [4 per cell]  4 Ac 3.56, 4 Li 3.56

Compound: LiAcPrSn
Source: Alexandria
Functional: PBE
Structure: optimized geometry

Total magnetization   0.00 μB/cell
VASP energy   -4.084 eV per atom
ΔE_f   -37.0 kJ/mol of atoms

Lattice parameters (Å, degrees): 7.9030 7.9030 7.9030 90.00 90.00 90.00
Last column: nearest neighbours and their distance in Å.
Space group F-43m (No. 216)
Inequivalent atoms, fractional coordinates:
1 Li 0.0000 0.0000 0.0000 [4 per cell]  4 Pr 3.42, 4 Ac 3.42
2 Ac 0.2500 0.2500 0.7500 [4 per cell]  4 Sn 3.42, 4 Li 3.42
3 Pr 0.2500 0.2500 0.2500 [4 per cell]  4 Sn 3.42, 4 Li 3.42
4 Sn 0.0000 0.0000 0.5000 [4 per cell]  4 Ac 3.42, 4 Pr 3.42

Compound: Li2Ac2PrSn2
Source: Alexandria
Functional: PBE
Structure: optimized geometry

Total magnetization   0.01 μB/cell
VASP energy   -4.001 eV per atom
ΔE_f   -43.8 kJ/mol of atoms

Lattice parameters (Å, degrees): 4.8553 4.8553 31.8248 90.00 90.00 120.00
Last column: nearest neighbours and their distance in Å.
Space group R-3m (No. 166, hexagonal axes)
Inequivalent atoms, fractional coordinates:
1 Li 0.0000 0.0000 0.1163 [6 per cell]  3 Sn 2.82
2 Ac 0.0000 0.0000 0.3781 [6 per cell]  3 Sn 3.45, 3 Li 3.61
3 Pr 0.0000 0.0000 0.5000 [3 per cell]  6 Li 3.23, 6 Sn 3.37
4 Sn 0.0000 0.0000 0.2255 [6 per cell]  3 Li 2.82